Record 1
# CePmGa3

Crystalline CePmGa3 at its relaxed geometry (PBE, the Alexandria database).

Geometry as extended XYZ:
```
10
Lattice="4.2131 0.0000 0.0000 0.0000 4.2641 0.0000 0.0000 -2.1321 13.1106" Properties=species:S:1:pos:R:3 pbc="T T T"
Ce 1.0533 2.1321 7.7132
Ce 3.1599 0.0000 5.3973
Pm 1.0533 0.0000 1.8865
Pm 3.1599 2.1321 11.2240
Ga 1.0533 0.0000 10.0186
Ga 3.1599 2.1321 3.0920
Ga 1.0533 0.0000 12.4902
Ga 3.1599 2.1321 0.6204
Ga 3.1599 0.0000 8.5948
Ga 1.0533 2.1321 4.5157
```

## Properties
Energy relative to the elements = -597 meV/atom
Density of states at the Fermi level = 1.316 states/eV per atom



Record 2
# CuNi8Pt2

Crystalline CuNi8Pt2 at its relaxed geometry (PBE, the Alexandria database).

Geometry as extended XYZ:
```
11
Lattice="4.1242 1.4039 0.0000 2.3703 6.1454 0.0000 1.1851 3.0727 6.3123" Properties=species:S:1:pos:R:3 pbc="T T T"
Cu 2.0621 0.7020 0.0000
Ni 3.7359 2.5323 1.6857
Ni 4.9210 5.6050 4.6266
Ni 2.2648 3.2494 0.0000
Ni 4.4324 6.8474 2.4663
Ni 3.2473 3.7747 3.8461
Ni 4.2297 4.3000 0.0000
Ni 2.7586 5.0171 1.6857
Ni 3.9438 8.0898 4.6266
Pt 1.1851 3.0727 2.3212
Pt 2.3703 6.1454 3.9912
```

## Properties
Energy relative to the elements = 152 meV/atom
Energy relative to the lowest polymorph listed for this composition = 172 meV/atom
Density of states at the Fermi level = 1.756 states/eV per atom



Record 3
# Pr3Sb4

Crystalline Pr3Sb4 at its relaxed geometry (PBE, the Alexandria database).

Geometry as extended XYZ:
```
7
Lattice="-2.8474 -0.9261 -5.6482 5.6979 0.1386 -2.8952 0.5419 -6.3238 0.7636" Properties=species:S:1:pos:R:3 pbc="T T T"
Pr 2.8489 0.0693 -1.4476
Pr 0.2709 -3.1619 0.3818
Pr -1.4237 -0.4630 -2.8241
Sb 0.0000 0.0000 0.0000
Sb 3.1199 -3.0926 -1.0658
Sb -1.1527 -3.6249 -2.4423
Sb 1.4253 -0.3937 -4.2717
```

## Properties
Density of states at the Fermi level = 0.491 states/eV per atom
Total energy = -5.0941 eV per atom



Record 4
# BaLaTlCu

Crystalline BaLaTlCu at its relaxed geometry (PBE, the Alexandria database).

Geometry as extended XYZ:
```
4
Lattice="-1.0594 5.5089 0.6493 -5.0622 1.7051 1.8325 -0.5401 2.1800 5.1815" Properties=species:S:1:pos:R:3 pbc="T T T"
Tl -4.9963 7.0454 5.7475
Ba -3.3308 4.6970 3.8316
Cu -1.6654 2.3485 1.9158
La 0.0000 0.0000 0.0000
```

## Properties
Energy relative to the elements = -111 meV/atom
Density of states at the Fermi level = 0.837 states/eV per atom



Record 5
# Ac3Mg3Al8

Crystalline Ac3Mg3Al8 at its relaxed geometry (PBE, the Alexandria database).

Geometry as extended XYZ:
```
14
Lattice="4.6250 0.0000 0.0000 2.3125 8.7729 0.2876 2.3125 2.6652 8.3632" Properties=species:S:1:pos:R:3 pbc="T T T"
Ac 4.6250 5.7190 4.3254
Ac 4.6250 2.2623 1.7110
Ac 4.6250 9.1758 6.9398
Mg 2.3125 0.0000 0.0000
Mg 2.3125 7.4934 1.9793
Mg 2.3125 3.9447 6.6715
Al 4.6250 2.3901 5.2590
Al 4.6250 9.0480 3.3918
Al 4.6250 5.7110 0.8681
Al 4.6250 5.7271 7.7827
Al 6.9376 8.4252 4.6565
Al 2.3125 3.0129 3.9943
Al 6.9376 6.7744 6.8392
Al 2.3125 4.6637 1.8116
```

## Properties
Energy relative to the elements = -293 meV/atom
Density of states at the Fermi level = 0.521 states/eV per atom



Record 6
# AcNbSb2O8

Crystalline AcNbSb2O8 at its relaxed geometry (PBE, the Alexandria database).

Geometry as extended XYZ:
```
12
Lattice="5.0422 0.0609 -0.0034 0.1094 5.0394 -0.0057 0.0043 0.0074 6.9682" Properties=species:S:1:pos:R:3 pbc="T T T"
Ac 0.0021 0.0037 3.4841
Nb 0.0000 0.0000 0.0000
Sb 2.5791 2.5558 5.2935
Sb 2.5768 2.5519 1.6656
O 1.0793 4.0542 1.4401
O 3.6252 3.5988 6.9617
O 4.0742 1.0492 1.4414
O 4.0766 1.0535 5.5190
O 1.5306 1.5088 -0.0026
O 1.0817 4.0584 5.5177
O 3.4212 3.4045 3.4783
O 1.7347 1.7032 3.4808
```

## Properties
Density of states at the Fermi level = 0.194 states/eV per atom
Total energy = -7.1940 eV per atom



Record 7
# CeGePt

Crystalline CeGePt at its relaxed geometry (PBE, the Alexandria database).

Geometry as extended XYZ:
```
3
Lattice="-1.2620 -3.1494 1.5743 -1.1731 -1.5174 -3.9758 4.0389 -0.8307 1.5758" Properties=species:S:1:pos:R:3 pbc="T T T"
Ge 2.0918 -1.5830 -0.0131
Ce -0.2773 -3.3886 -1.0755
Pt -0.2107 -0.5258 0.2629
```

## Properties
Energy relative to the elements = -1060 meV/atom
Density of states at the Fermi level = 1.289 states/eV per atom



Record 8
# PaGaSnGe

Crystalline PaGaSnGe at its relaxed geometry (PBE, the Alexandria database).

Geometry as extended XYZ:
```
4
Lattice="-0.9779 3.9535 1.1851 -3.5344 -1.5070 2.1108 2.5106 -0.5264 3.8280" Properties=species:S:1:pos:R:3 pbc="T T T"
Pa -2.2562 1.2233 1.6479
Ga -0.5119 -1.0167 2.9694
Sn 0.7663 1.7136 2.5065
Ge 0.0000 0.0000 0.0000
```

## Properties
Energy relative to the elements = -392 meV/atom
Density of states at the Fermi level = 0.928 states/eV per atom



Record 9
# TiMoIr

Crystalline TiMoIr at its relaxed geometry (PBE, the Alexandria database).

Geometry as extended XYZ:
```
6
Lattice="4.6213 0.0000 -0.0026 0.0000 3.0057 0.0000 -1.6757 0.0000 6.6248" Properties=species:S:1:pos:R:3 pbc="T T T"
Mo 0.2251 1.5028 3.9389
Mo 0.2080 0.0000 1.7543
Ir 2.5204 1.5028 6.1261
Ir 2.5094 1.5028 1.8282
Ti 0.2570 0.0000 6.1846
Ti 2.5434 0.0000 3.9794
```

## Properties
Energy relative to the elements = -446 meV/atom
Energy relative to the lowest polymorph listed for this composition = 0 meV/atom
Density of states at the Fermi level = 0.757 states/eV per atom



Record 10
# PaP5

Crystalline PaP5 at its relaxed geometry (PBE, the Alexandria database).

Geometry as extended XYZ:
```
6
Lattice="3.6864 0.0000 0.0000 0.0000 4.5727 0.0000 0.0000 -2.2864 5.8205" Properties=species:S:1:pos:R:3 pbc="T T T"
P 1.8432 2.2864 3.2827
P 0.0000 2.2864 1.7544
P 1.8432 2.2864 0.0000
P 0.0000 0.0000 4.0661
P 1.8432 0.0000 2.5378
Pa 0.0000 0.0000 0.0000
```

## Properties
Energy relative to the elements = -290 meV/atom
Density of states at the Fermi level = 0.608 states/eV per atom



Record 11
# RbHg2As2

Crystalline RbHg2As2 at its relaxed geometry (PBE, the Alexandria database).

Geometry as extended XYZ:
```
5
Lattice="4.7845 0.0000 0.0000 0.0000 4.7845 0.0000 2.3923 2.3923 6.0116" Properties=species:S:1:pos:R:3 pbc="T T T"
As 4.7845 2.3923 3.0058
As 2.3923 4.7845 3.0058
Hg 2.3923 2.3923 1.4128
Hg 4.7845 4.7845 4.5989
Rb 0.0000 0.0000 0.0000
```

## Properties
Energy relative to the elements = -48 meV/atom
Energy relative to the lowest polymorph listed for this composition = 76 meV/atom
Density of states at the Fermi level = 0.460 states/eV per atom



Record 12
# Zn4Hg

Crystalline Zn4Hg at its relaxed geometry (PBE, the Alexandria database).

Geometry as extended XYZ:
```
5
Lattice="-1.9386 1.9386 6.1637 1.9386 -1.9386 6.1637 1.9386 1.9386 -6.1637" Properties=species:S:1:pos:R:3 pbc="T T T"
Zn 1.9386 0.0000 3.0818
Zn 0.0000 0.0000 7.4221
Zn 0.0000 0.0000 4.9053
Zn 0.0000 1.9386 3.0818
Hg 0.0000 0.0000 0.0000
```

## Properties
Energy relative to the elements = 112 meV/atom
Energy relative to the lowest polymorph listed for this composition = 10 meV/atom
Density of states at the Fermi level = 0.197 states/eV per atom